Record 1
## Rb2LiAg2F6 (PBE-GGA)

Data for Rb2LiAg2F6 after structural relaxation.

Raw total energy: -3.81 eV/atom
Total magnetization: 2.168 μB per cell
Formation energy from raw total energies: -1.922 eV per atom
V: 419.3 Å³ per cell
N(E_F): 14.578 states/eV per cell

abc: 13.4041 5.8205 5.8330
angles: 90.00 112.86 90.00
Space group C2/m (No. 12)
Symmetry-distinct sites (fractional):
Rb 0.2220 0.0000 0.1726
Li 0.0000 0.0000 0.5000
Ag 0.0320 0.5000 0.2683
F 0.0832 0.2357 0.7332
F 0.1923 0.5000 0.2874

=====

Record 2
## RbLi4Ag3F12 (PBE-GGA)

Data for RbLi4Ag3F12 after structural relaxation.

Raw total energy: -4.01 eV/atom
Total magnetization: 4.019 μB per cell
Formation energy from raw total energies: -2.029 eV per atom
V: 494.8 Å³ per cell
N(E_F): 22.074 states/eV per cell

abc: 7.9095 7.9095 7.9095
angles: 90.00 90.00 90.00
Space group Im-3 (No. 204)
Symmetry-distinct sites (fractional):
Rb 0.0000 0.0000 0.0000
Li 0.2500 0.2500 0.2500
Ag 0.0000 0.0000 0.5000
F 0.0000 0.3126 0.1849

=====

Record 3
## Rb3LiAg2F9 (PBE-GGA)

Data for Rb3LiAg2F9 after structural relaxation.

Raw total energy: -3.89 eV/atom
Total magnetization: 0.000 μB per cell
Formation energy from raw total energies: -2.063 eV per atom
V: 239.2 Å³ per cell
N(E_F): 3.501 states/eV per cell

abc: 6.0815 6.0815 7.4678
angles: 90.00 90.00 120.00
Space group P-3m1 (No. 164)
Symmetry-distinct sites (fractional):
Rb 0.0000 0.0000 0.0000
Rb 0.3333 0.6667 0.6507
Li 0.0000 0.0000 0.5000
Ag 0.3333 0.6667 0.1713
F 0.0000 0.5000 0.0000
F 0.1633 0.3265 0.3318

=====

Record 4
## LiAgRhF5 (PBE-GGA)

Data for LiAgRhF5 after structural relaxation.

Raw total energy: -4.46 eV/atom
Total magnetization: 0.000 μB per cell
Formation energy from raw total energies: -1.779 eV per atom
V: 444.4 Å³ per cell

abc: 6.8060 9.5384 7.3959
angles: 90.00 112.24 90.00
Space group C2/c (No. 15)
Symmetry-distinct sites (fractional):
Li 0.0000 0.1892 0.2500
Ag 0.0000 0.1518 0.7500
Rh 0.0000 0.5000 0.0000
F 0.0000 0.4157 0.7500
F 0.1156 0.3116 0.1144
F 0.1969 0.0613 0.4260

=====

Record 5
## LiAg2RhF6 (PBE-GGA)

Data for LiAg2RhF6 after structural relaxation.

Raw total energy: -4.23 eV/atom
Total magnetization: 0.003 μB per cell
Formation energy from raw total energies: -1.615 eV per atom
V: 388.7 Å³ per cell
N(E_F): 0.000 states/eV per cell

abc: 5.7215 5.7215 13.7091
angles: 90.00 90.00 120.00
Space group R-3 (No. 148, hexagonal axes)
Symmetry-distinct sites (fractional):
Li 0.0000 0.0000 0.0000
Ag 0.0000 0.0000 0.2496
Rh 0.0000 0.0000 0.5000
F 0.0070 0.4282 0.2490

=====

Record 6
## Li2AgRhF (PBE-GGA)

Data for Li2AgRhF after structural relaxation.

Raw total energy: -2.94 eV/atom
Total magnetization: 1.285 μB per cell
Formation energy from raw total energies: 0.244 eV per atom
V: 120.9 Å³ per cell
N(E_F): 3.702 states/eV per cell

abc: 4.9068 4.9068 5.0204
angles: 90.00 90.00 90.00
Space group P4/mmm (No. 123)
Symmetry-distinct sites (fractional):
Li 0.0000 0.5000 0.0000
Ag 0.0000 0.0000 0.0000
Rh 0.0000 0.0000 0.5000
F 0.5000 0.5000 0.5000

=====

Record 7
## Li2AgRhF8 (PBE-GGA)

Data for Li2AgRhF8 after structural relaxation.

Raw total energy: -4.32 eV/atom
Total magnetization: 0.927 μB per cell
Formation energy from raw total energies: -1.908 eV per atom
V: 149.8 Å³ per cell
N(E_F): 8.716 states/eV per cell

abc: 4.6948 6.7759 4.7134
angles: 90.00 92.15 90.00
Space group P2/m (No. 10)
Symmetry-distinct sites (fractional):
Li 0.0000 0.2489 0.0000
Ag 0.5000 0.0000 0.5000
Rh 0.5000 0.5000 0.5000
F 0.1880 0.0000 0.1857
F 0.2033 0.5000 0.1991
F 0.3032 0.2867 0.6924

=====

Record 8
## Li2AgRhF6 (PBE-GGA)

Data for Li2AgRhF6 after structural relaxation.

Raw total energy: -4.52 eV/atom
Total magnetization: 0.000 μB per cell
Formation energy from raw total energies: -1.990 eV per atom
V: 383.5 Å³ per cell
N(E_F): 0.000 states/eV per cell

abc: 5.4075 5.4075 15.1395
angles: 90.00 90.00 120.00
Space group R3 (No. 146, hexagonal axes)
Symmetry-distinct sites (fractional):
Li 0.0000 0.0000 0.0000
Li 0.0000 0.0000 0.4717
Ag 0.0000 0.0000 0.2033
Rh 0.0000 0.0000 0.6882
F 0.0162 0.6198 0.2755
F 0.0175 0.3405 0.4259

=====

Record 9
## LiAg2RuF8 (PBE-GGA)

Data for LiAg2RuF8 after structural relaxation.

Raw total energy: -4.35 eV/atom
Total magnetization: 2.875 μB per cell
Formation energy from raw total energies: -1.691 eV per atom
V: 184.9 Å³ per cell
N(E_F): 4.321 states/eV per cell

abc: 5.0791 7.0819 5.1818
angles: 90.00 97.37 90.00
Space group P2/m (No. 10)
Symmetry-distinct sites (fractional):
Li 0.0000 0.0000 0.0000
Ag 0.5000 0.2334 0.5000
Ru 0.0000 0.5000 0.0000
F 0.1601 0.3033 0.8165
F 0.2800 0.0000 0.2630
F 0.3039 0.5000 0.2704

=====

Record 10
## Li2AgRuF8 (PBE-GGA)

Data for Li2AgRuF8 after structural relaxation.

Raw total energy: -4.59 eV/atom
Total magnetization: 3.024 μB per cell
Formation energy from raw total energies: -2.018 eV per atom
V: 157.0 Å³ per cell
N(E_F): 0.834 states/eV per cell

abc: 4.7061 7.0810 4.7183
angles: 90.00 92.96 90.00
Space group P2/m (No. 10)
Symmetry-distinct sites (fractional):
Li 0.0000 0.2051 0.0000
Ag 0.5000 0.0000 0.5000
Ru 0.5000 0.5000 0.5000
F 0.1901 0.0000 0.8122
F 0.2263 0.5000 0.7795
F 0.2949 0.2973 0.2997

=====

Record 11
## LiAgSbF6 (PBE-GGA)

Data for LiAgSbF6 after structural relaxation.

Raw total energy: -4.35 eV/atom
Total magnetization: 0.000 μB per cell
Formation energy from raw total energies: -2.118 eV per atom
V: 269.2 Å³ per cell
N(E_F): 6.813 states/eV per cell

abc: 5.1581 5.1581 10.1195
angles: 90.00 90.00 90.00
Space group P4_2nm (No. 102)
Symmetry-distinct sites (fractional):
Li 0.0000 0.0000 0.0000
Ag 0.0000 0.0000 0.6717
Sb 0.0000 0.0000 0.3396
F 0.1772 0.1772 0.1788
F 0.2116 0.2116 0.4761
F 0.2179 0.2179 0.8550

=====

Record 12
## LiScAgF2 (PBE-GGA)

Data for LiScAgF2 after structural relaxation.

Raw total energy: -3.43 eV/atom
Total magnetization: 1.183 μB per cell
Formation energy from raw total energies: -0.465 eV per atom
V: 110.0 Å³ per cell
N(E_F): 3.486 states/eV per cell

abc: 4.5271 4.5271 5.3697
angles: 90.00 90.00 90.00
Space group P4/mmm (No. 123)
Symmetry-distinct sites (fractional):
Li 0.0000 0.0000 0.0000
Sc 0.5000 0.5000 0.0000
Ag 0.5000 0.5000 0.5000
F 0.0000 0.5000 0.5000